Er8SbTe4As3 | PBE-GGA | optimized geometry

Values from the calculation:
ΔE_f (raw) ... -22.1 eV per formula unit
Symmetry ... No. 166
Electronic total energy ... -89.2 eV/f.u.

Cell lengths 8.543, 8.543, 8.543 Å; angles 59.10, 59.10, 59.10 degrees
Fractional positions:
1 Er 0.228 0.747 0.747
2 Er 0.239 0.239 0.239
3 Er 0.253 0.253 0.772
4 Er 0.253 0.772 0.253
5 Er 0.747 0.228 0.747
6 Er 0.747 0.747 0.228
7 Er 0.761 0.761 0.761
8 Er 0.772 0.253 0.253
9 Sb 0.500 0.500 0.500
10 Te 0.000 0.000 0.000
11 Te 0.000 0.500 0.500
12 Te 0.500 0.000 0.500
13 Te 0.500 0.500 0.000
14 As 0.000 0.000 0.500
15 As 0.000 0.500 0.000
16 As 0.500 0.000 0.000